A geometry-optimized PrTlZnS3 structure, computed with PBE.

Calculated values
spin magnetization	0.0	μB per formula unit
calculated density	5.9	Mg/m³
crystal system	orthorhombic
E above lowest polymorph	48	kJ/mol of formula units

The structure in CIF format:
```
data_PrTlZnS3
_chemical_formula_sum 'Pr4 Tl4 Zn4 S12'
_cell_length_a 8.3226
_cell_length_b 4.2873
_cell_length_c 15.9514
_cell_angle_alpha 90.00
_cell_angle_beta 90.00
_cell_angle_gamma 90.00
_symmetry_space_group_name_H-M 'P 1'
_symmetry_Int_Tables_number 1
_symmetry_space_group_name_Hall 'P 1'
loop_
_atom_site_label
_atom_site_fract_x
_atom_site_fract_y
_atom_site_fract_z
Pr1 0.2485 0.2500 0.0487
Pr2 0.2515 0.7500 0.5487
Pr3 0.7485 0.2500 0.4513
Pr4 0.7515 0.7500 0.9513
Tl1 0.0674 0.2500 0.7904
Tl2 0.4326 0.7500 0.2904
Tl3 0.5674 0.2500 0.7096
Tl4 0.9326 0.7500 0.2096
Zn1 0.1431 0.2500 0.3616
Zn2 0.3569 0.7500 0.8616
Zn3 0.6431 0.2500 0.1384
Zn4 0.8569 0.7500 0.6384
S1 0.0071 0.7500 0.4077
S2 0.1317 0.7500 0.9516
S3 0.1981 0.2500 0.2195
S4 0.3019 0.7500 0.7195
S5 0.3683 0.2500 0.4516
S6 0.4929 0.2500 0.9077
S7 0.5071 0.7500 0.0923
S8 0.6317 0.7500 0.5484
S9 0.6981 0.2500 0.2805
S10 0.8019 0.7500 0.7805
S11 0.8683 0.2500 0.0484
S12 0.9929 0.2500 0.5923
```